1.
Below is a geometry-optimized MnHgH2Au structure, with properties calculated at the PBE-GGA level.

The structure belongs to space group P4/mmm (No. 123); the cell edges are 3.740, 3.740 and 5.493 Å and the angles 90.00°, 90.00° and 90.00°. Symmetry generates all atoms from Mn at (0.000, 0.000, 0.000), Hg at (0.500, 0.500, 0.000), H at (0.000, 0.500, 0.500) and Au at (0.000, 0.000, 0.500).

The calculated total energy comes out at -17.27 eV for the cell shown.


2.
Below is a geometry-optimized HgMo2HAu structure, with properties calculated at the PBE-GGA level.

The structure belongs to space group P4/mmm (No. 123); the cell edges are 3.932, 3.932 and 4.672 Å and the angles 90.00°, 90.00° and 90.00°. Symmetry generates all atoms from Hg at (0.000, 0.000, 0.000), Mo at (0.000, 0.500, 0.500), H at (0.000, 0.000, 0.500) and Au at (0.500, 0.500, 0.000).

The calculated total energy comes out at -26.50 eV for the cell shown.


3.
Below is a geometry-optimized SnHgMoHAu structure, with properties calculated at the PBE-GGA level.

The structure belongs to space group Cm (No. 8); the cell edges are 15.008, 2.905 and 4.813 Å and the angles 90.00°, 102.71° and 90.00°. Symmetry generates all atoms from Sn at (0.000, 0.000, 0.000), Hg at (0.339, 0.500, 0.401), Mo at (0.016, 0.500, 0.506), H at (0.097, 0.000, 0.679) and Au at (0.178, 0.000, 0.414).

As for the energy above the most stable polymorph in this dataset: 0.057 eV per atom.


4.
Below is a geometry-optimized SnHgMoHAu structure, with properties calculated at the PBE-GGA level.

The structure belongs to space group Cm (No. 8); the cell edges are 10.517, 2.994 and 7.064 Å and the angles 90.00°, 130.40° and 90.00°. Symmetry generates all atoms from Sn at (0.000, 0.000, 0.000), Hg at (0.115, 0.000, 0.667), Mo at (0.299, 0.500, 0.152), H at (0.428, 0.000, 0.231) and Au at (0.310, 0.000, 0.512).

As for the energy above the most stable polymorph in this dataset: 0.047 eV per atom.


5.
Below is a geometry-optimized SnHgMoHAu structure, with properties calculated at the PBE-GGA level.

The structure belongs to space group P1 (No. 1); the cell edges are 3.291, 5.313 and 5.701 Å and the angles 111.06°, 101.94° and 104.30°. Symmetry generates all atoms from Sn at (0.000, 0.000, 0.000), Hg at (0.972, 0.446, 0.529), Mo at (0.682, 0.429, 0.961), H at (0.429, 0.068, 0.699) and Au at (0.491, 0.831, 0.364).

As for the energy above the most stable polymorph in this dataset: 0.116 eV per atom.


6.
Below is a geometry-optimized SnHgMoHAu structure, with properties calculated at the PBE-GGA level.

The structure belongs to space group Cm (No. 8); the cell edges are 14.982, 2.921 and 4.697 Å and the angles 90.00°, 103.49° and 90.00°. Symmetry generates all atoms from Sn at (0.000, 0.000, 0.000), Hg at (0.290, 0.500, 0.583), Mo at (0.459, 0.000, 0.479), H at (0.387, 0.500, 0.277) and Au at (0.128, 0.000, 0.583).

As for the energy above the most stable polymorph in this dataset: 0.047 eV per atom.